[1]
DFT (PBE-GGA) results for crystalline YHoTmTl at its relaxed geometry.

```
4
Lattice="5.443 0.000 0.000 2.721 4.713 0.000 2.721 1.571 4.444" Properties=species:S:1:pos:R:3 pbc="T T T"
Y 0.000 0.000 0.000
Tl 2.721 1.571 1.111
Tm 8.164 4.713 3.333
Ho 5.443 3.142 2.222
```

As for the formation energy: -0.15 eV/f.u. The value obtained for the relative energy among the computed polymorphs is 137 meV/atom. The value obtained for the size of the total moment is 1.36 μB per cell.

[2]
DFT (PBE-GGA) results for crystalline YHo2TmTl2 at its relaxed geometry.

```
12
Lattice="5.047 0.000 0.000 0.000 6.853 0.000 0.000 0.000 9.886" Properties=species:S:1:pos:R:3 pbc="T T T"
Y 0.000 6.570 4.495
Y 0.000 3.144 5.390
Ho 2.523 0.378 0.448
Ho 0.000 2.334 1.854
Ho 2.523 3.804 9.437
Ho 0.000 5.761 8.031
Tm 2.523 1.189 6.830
Tm 2.523 4.615 3.056
Tl 0.000 2.051 8.572
Tl 2.523 1.497 3.662
Tl 0.000 5.478 1.313
Tl 2.523 4.924 6.224
```

As for the formation energy: -1.64 eV/f.u. The value obtained for the size of the total moment is 0.00 μB per cell.

What is the formula in the second record? YHo2TmTl2